Entry 1:
Here is crystalline CoSbPI2 at its relaxed geometry from Alexandria. Energies are from PBE-GGA.

Lattice parameters (Å, degrees): 5.153 5.153 4.877 90.00 90.00 90.00
Element x y z (fractional)
P (0.500, 0.500, 0.500)
Co (0.000, 0.000, 0.000)
I (0.500, 0.000, 0.000)
I (0.000, 0.500, 0.000)
Sb (0.000, 0.000, 0.500)

As for the calculated volume: 25.90 Å³ per atom. The calculation puts the total energy at -3.174 eV/atom. Its energy above the lowest structure with this stoichiometry is 0.000 eV per atom. As for the uncorrected formation energy: 3.87 eV per formula unit. Its symmetry is No. 123. As for the total magnetization: 0.1 μB per cell.


Entry 2:
Here is crystalline CoSbPI2 at its relaxed geometry from Alexandria. Energies are from PBE-GGA.

Lattice parameters (Å, degrees): 5.361 5.361 5.427 90.00 90.00 90.00
Element x y z (fractional)
Co (0.500, 0.500, 0.500)
I (0.500, 0.000, 0.000)
I (0.000, 0.500, 0.000)
Sb (0.000, 0.000, 0.500)
P (0.000, 0.000, 0.000)

As for the calculated volume: 31.20 Å³ per atom. The calculation puts the total energy at -2.877 eV/atom. Its energy above the lowest structure with this stoichiometry is 0.297 eV per atom. As for the uncorrected formation energy: 5.35 eV per formula unit. Its symmetry is No. 123. As for the total magnetization: 2.4 μB per cell.


Entry 3:
Here is crystalline CoSb2PI at its relaxed geometry from Alexandria. Energies are from PBE-GGA.

Lattice parameters (Å, degrees): 4.901 4.901 5.133 90.00 90.00 90.00
Element x y z (fractional)
P (0.500, 0.500, 0.500)
Sb (0.000, 0.500, 0.000)
Sb (0.500, 0.000, 0.000)
I (0.000, 0.000, 0.500)
Co (0.000, 0.000, 0.000)

As for the calculated volume: 24.66 Å³ per atom. The calculation puts the total energy at -3.761 eV/atom. Its energy above the lowest structure with this stoichiometry is 0.000 eV per atom. As for the uncorrected formation energy: 3.51 eV per formula unit. Its symmetry is No. 123. As for the total magnetization: 0.0 μB per cell.


Entry 4:
Here is crystalline CoSb2PI at its relaxed geometry from Alexandria. Energies are from PBE-GGA.

Lattice parameters (Å, degrees): 5.226 5.226 5.269 90.00 90.00 90.00
Element x y z (fractional)
Sb (0.500, 0.000, 0.000)
I (0.000, 0.000, 0.500)
Sb (0.000, 0.500, 0.000)
Co (0.500, 0.500, 0.500)
P (0.000, 0.000, 0.000)

As for the calculated volume: 28.78 Å³ per atom. The calculation puts the total energy at -3.314 eV/atom. Its energy above the lowest structure with this stoichiometry is 0.447 eV per atom. As for the uncorrected formation energy: 5.74 eV per formula unit. Its symmetry is No. 123. As for the total magnetization: 2.2 μB per cell.


Entry 5:
Here is crystalline SrCoP2I at its relaxed geometry from Alexandria. Energies are from PBE-GGA.

Lattice parameters (Å, degrees): 5.533 6.241 5.533 90.00 90.00 90.00
Element x y z (fractional)
Sr (0.000, 0.000, 0.000)
I (0.000, 0.500, 0.000)
P (0.500, 0.000, 0.000)
Co (0.500, 0.500, 0.500)
P (0.000, 0.000, 0.500)

As for the calculated volume: 38.21 Å³ per atom. The calculation puts the total energy at -2.687 eV/atom. As for the uncorrected formation energy: 7.72 eV per formula unit. Its symmetry is No. 123. As for the total magnetization: 0.1 μB per cell.


Entry 6:
Here is crystalline PaCoI at its relaxed geometry from Alexandria. Energies are from PBE-GGA.

Lattice parameters (Å, degrees): 3.976 3.976 12.440 90.06 99.12 120.06
Element x y z (fractional)
Pa (0.094, 0.547, 0.641)
Co (0.665, 0.833, 0.497)
Co (0.335, 0.167, 0.503)
Pa (0.906, 0.453, 0.359)
I (0.553, 0.278, 0.830)
I (0.447, 0.722, 0.170)

As for the calculated volume: 27.89 Å³ per atom. The calculation puts the total energy at -6.558 eV/atom. Its energy above the lowest structure with this stoichiometry is 0.000 eV per atom. As for the uncorrected formation energy: -1.52 eV per formula unit. Its symmetry is No. 12. As for the total magnetization: 1.3 μB per cell.


Entry 7:
Here is crystalline PaCoI at its relaxed geometry from Alexandria. Energies are from PBE-GGA.

Lattice parameters (Å, degrees): 3.870 3.948 11.980 87.86 85.62 112.47
Element x y z (fractional)
Co (0.993, 0.751, 0.444)
Pa (0.532, 0.257, 0.364)
Co (0.007, 0.249, 0.556)
Pa (0.468, 0.743, 0.636)
I (0.277, 0.646, 0.168)
I (0.723, 0.354, 0.832)

As for the calculated volume: 28.04 Å³ per atom. The calculation puts the total energy at -6.543 eV/atom. Its energy above the lowest structure with this stoichiometry is 0.015 eV per atom. As for the uncorrected formation energy: -1.48 eV per formula unit. Its symmetry is No. 2. As for the total magnetization: 0.0 μB per cell.


Entry 8:
Here is crystalline Pa6CoI15 at its relaxed geometry from Alexandria. Energies are from PBE-GGA.

Lattice parameters (Å, degrees): 10.513 10.513 10.513 109.47 109.47 109.47
Element x y z (fractional)
Pa (0.223, 0.000, 0.223)
I (0.253, 0.253, 0.506)
I (0.500, 0.000, 0.500)
Pa (0.000, 0.223, 0.223)
I (0.747, 0.494, 0.747)
I (0.747, 0.747, 0.494)
I (0.253, 0.747, 0.000)
I (0.506, 0.253, 0.253)
Pa (0.000, 0.777, 0.777)
I (0.000, 0.253, 0.747)
Pa (0.777, 0.777, 0.000)
I (0.253, 0.506, 0.253)
Pa (0.777, 0.000, 0.777)
I (0.747, 0.000, 0.253)
I (0.500, 0.500, 0.000)
I (0.494, 0.747, 0.747)
I (0.000, 0.500, 0.500)
I (0.747, 0.253, 0.000)
Co (0.000, 0.000, 0.000)
I (0.253, 0.000, 0.747)
I (0.000, 0.747, 0.253)
Pa (0.223, 0.223, 0.000)

As for the calculated volume: 40.66 Å³ per atom. The calculation puts the total energy at -4.762 eV/atom. As for the uncorrected formation energy: -17.44 eV per formula unit. Its symmetry is No. 229. As for the total magnetization: 6.0 μB per cell.


Entry 9:
Here is crystalline CoPbI3 at its relaxed geometry from Alexandria. Energies are from PBE-GGA.

Lattice parameters (Å, degrees): 6.242 6.242 6.242 90.00 90.00 90.00
Element x y z (fractional)
Co (0.500, 0.500, 0.500)
I (0.000, 0.000, 0.500)
Pb (0.000, 0.000, 0.000)
I (0.000, 0.500, 0.000)
I (0.500, 0.000, 0.000)

As for the calculated volume: 48.65 Å³ per atom. The calculation puts the total energy at -2.527 eV/atom. Its energy above the lowest structure with this stoichiometry is 0.499 eV per atom. As for the uncorrected formation energy: 2.83 eV per formula unit. Its symmetry is No. 221. As for the total magnetization: 2.4 μB per cell.


Entry 10:
Here is crystalline CoPbI2 at its relaxed geometry from Alexandria. Energies are from PBE-GGA.

Lattice parameters (Å, degrees): 7.296 7.296 7.263 59.85 59.85 90.00
Element x y z (fractional)
Co (0.500, 0.500, 0.000)
Pb (0.000, 0.000, 0.000)
Co (0.250, 0.750, 0.500)
I (0.875, 0.790, 0.750)
Pb (0.750, 0.250, 0.500)
I (0.540, 0.125, 0.250)
I (0.210, 0.625, 0.250)
I (0.375, 0.460, 0.750)

As for the calculated volume: 34.02 Å³ per atom. The calculation puts the total energy at -3.233 eV/atom. Its energy above the lowest structure with this stoichiometry is 0.174 eV per atom. As for the uncorrected formation energy: 0.98 eV per formula unit. Its symmetry is No. 122. As for the total magnetization: 2.1 μB per cell.


Entry 11:
Here is crystalline Co2Pb2I at its relaxed geometry from Alexandria. Energies are from PBE-GGA.

Lattice parameters (Å, degrees): 7.680 7.680 3.885 90.00 90.00 90.00
Element x y z (fractional)
Pb (0.159, 0.659, 0.500)
Pb (0.841, 0.341, 0.500)
I (0.500, 0.500, 0.000)
I (0.000, 0.000, 0.000)
Co (0.605, 0.105, 0.000)
Pb (0.341, 0.159, 0.500)
Co (0.895, 0.605, 0.000)
Co (0.105, 0.395, 0.000)
Pb (0.659, 0.841, 0.500)
Co (0.395, 0.895, 0.000)

As for the calculated volume: 22.91 Å³ per atom. The calculation puts the total energy at -4.149 eV/atom. Its energy above the lowest structure with this stoichiometry is 0.000 eV per atom. As for the uncorrected formation energy: 2.43 eV per formula unit. Its symmetry is No. 127. As for the total magnetization: 5.2 μB per cell.


Entry 12:
Here is crystalline CoPbI2 at its relaxed geometry from Alexandria. Energies are from PBE-GGA.

Lattice parameters (Å, degrees): 5.437 5.437 5.437 60.00 60.00 60.00
Element x y z (fractional)
I (0.250, 0.250, 0.250)
Pb (0.500, 0.500, 0.500)
I (0.750, 0.750, 0.750)
Co (0.000, 0.000, 0.000)

As for the calculated volume: 28.41 Å³ per atom. The calculation puts the total energy at -2.929 eV/atom. Its energy above the lowest structure with this stoichiometry is 0.478 eV per atom. As for the uncorrected formation energy: 2.20 eV per formula unit. Its symmetry is No. 225. As for the total magnetization: 1.6 μB per cell.


Q: calculated volume of number 4 (CoSb2PI)?
A: 28.78 Å³ per atom


Please write out number 9 again, unchanged.
Here is crystalline CoPbI3 at its relaxed geometry from Alexandria. Energies are from PBE-GGA.

Lattice parameters (Å, degrees): 6.242 6.242 6.242 90.00 90.00 90.00
Element x y z (fractional)
Co (0.500, 0.500, 0.500)
I (0.000, 0.000, 0.500)
Pb (0.000, 0.000, 0.000)
I (0.000, 0.500, 0.000)
I (0.500, 0.000, 0.000)

As for the calculated volume: 48.65 Å³ per atom. The calculation puts the total energy at -2.527 eV/atom. Its energy above the lowest structure with this stoichiometry is 0.499 eV per atom. As for the uncorrected formation energy: 2.83 eV per formula unit. Its symmetry is No. 221. As for the total magnetization: 2.4 μB per cell.